[1]
Below is crystalline HgAs2OsBr at its relaxed geometry, with properties calculated at the GGA-PBE level.

## Properties
For the energy relative to the lowest polymorph listed for this composition, the calculation gives 0.0000 eV per atom. The uncorrected formation energy is 0.461 eV per atom.

Cell: 4.7531 4.7531 5.5545 Å, 90.00 90.00 90.00°
Space group P4/mmm (No. 123)
Symmetry-distinct sites (fractional):
1 Hg 0.0000 0.0000 0.0000 x1
2 As 0.0000 0.5000 0.5000 x2
3 Os 0.5000 0.5000 0.5000 x1
4 Br 0.5000 0.5000 0.0000 x1


[2]
Below is crystalline HgAsPBr2 at its relaxed geometry, with properties calculated at the GGA-PBE level.

## Properties
For the energy relative to the lowest polymorph listed for this composition, the calculation gives 0.0000 eV per atom. The uncorrected formation energy is 0.314 eV per atom.

Cell: 5.1247 5.1247 5.0332 Å, 90.00 90.00 90.00°
Space group P4/mmm (No. 123)
Symmetry-distinct sites (fractional):
1 Hg 0.0000 0.0000 0.0000 x1
2 As 0.5000 0.5000 0.0000 x1
3 P 0.5000 0.5000 0.5000 x1
4 Br 0.0000 0.5000 0.5000 x2


[3]
Below is crystalline HgAsPBr2 at its relaxed geometry, with properties calculated at the GGA-PBE level.

## Properties
For the energy relative to the lowest polymorph listed for this composition, the calculation gives 0.5931 eV per atom. The uncorrected formation energy is 0.907 eV per atom.

Cell: 5.4188 5.4188 5.5174 Å, 90.00 90.00 90.00°
Space group P4/mmm (No. 123)
Symmetry-distinct sites (fractional):
1 Hg 0.0000 0.0000 0.0000 x1
2 As 0.0000 0.0000 0.5000 x1
3 P 0.5000 0.5000 0.5000 x1
4 Br 0.0000 0.5000 0.0000 x2


[4]
Below is crystalline HgAsPbBr2 at its relaxed geometry, with properties calculated at the GGA-PBE level.

## Properties
For the energy relative to the lowest polymorph listed for this composition, the calculation gives 0.0000 eV per atom. The uncorrected formation energy is 0.069 eV per atom.

Cell: 5.8262 5.8262 5.8050 Å, 90.00 90.00 90.00°
Space group P4/mmm (No. 123)
Symmetry-distinct sites (fractional):
1 Hg 0.0000 0.0000 0.0000 x1
2 As 0.5000 0.5000 0.0000 x1
3 Pb 0.5000 0.5000 0.5000 x1
4 Br 0.0000 0.5000 0.5000 x2


[5]
Below is crystalline HgAsPdBr2 at its relaxed geometry, with properties calculated at the GGA-PBE level.

## Properties
For the energy relative to the lowest polymorph listed for this composition, the calculation gives 0.0000 eV per atom. The uncorrected formation energy is 0.150 eV per atom.

Cell: 5.2611 5.2611 4.9038 Å, 90.00 90.00 90.00°
Space group P4/mmm (No. 123)
Symmetry-distinct sites (fractional):
1 Hg 0.0000 0.0000 0.0000 x1
2 As 0.5000 0.5000 0.0000 x1
3 Pd 0.5000 0.5000 0.5000 x1
4 Br 0.0000 0.5000 0.5000 x2


[6]
Below is crystalline HgAs2PtBr at its relaxed geometry, with properties calculated at the GGA-PBE level.

## Properties
For the energy relative to the lowest polymorph listed for this composition, the calculation gives 0.0000 eV per atom. The uncorrected formation energy is 0.395 eV per atom.

Cell: 4.9131 4.9131 5.4377 Å, 90.00 90.00 90.00°
Space group P4/mmm (No. 123)
Symmetry-distinct sites (fractional):
1 Hg 0.0000 0.0000 0.0000 x1
2 As 0.0000 0.5000 0.5000 x2
3 Pt 0.5000 0.5000 0.5000 x1
4 Br 0.5000 0.5000 0.0000 x1


[7]
Below is crystalline Rb2HgAsBr6 at its relaxed geometry, with properties calculated at the GGA-PBE level.

## Properties
The uncorrected formation energy is -0.923 eV per atom.

Cell: 11.2449 11.2449 11.2449 Å, 90.00 90.00 90.00°
Space group Fm-3m (No. 225)
Symmetry-distinct sites (fractional):
1 Rb 0.2500 0.2500 0.2500 x8
2 Hg 0.0000 0.0000 0.0000 x4
3 As 0.0000 0.0000 0.5000 x4
4 Br 0.0000 0.0000 0.2617 x24


[8]
Below is crystalline ReHgAs2Br at its relaxed geometry, with properties calculated at the GGA-PBE level.

## Properties
For the energy relative to the lowest polymorph listed for this composition, the calculation gives 0.0000 eV per atom. The uncorrected formation energy is 0.410 eV per atom.

Cell: 4.7745 4.7745 5.5735 Å, 90.00 90.00 90.00°
Space group P4/mmm (No. 123)
Symmetry-distinct sites (fractional):
1 Re 0.0000 0.0000 0.0000 x1
2 Hg 0.5000 0.5000 0.5000 x1
3 As 0.0000 0.5000 0.0000 x2
4 Br 0.0000 0.0000 0.5000 x1


[9]
Below is crystalline HgAsRhBr2 at its relaxed geometry, with properties calculated at the GGA-PBE level.

## Properties
For the energy relative to the lowest polymorph listed for this composition, the calculation gives 0.0000 eV per atom. The uncorrected formation energy is 0.100 eV per atom.

Cell: 5.2862 5.2862 4.6929 Å, 90.00 90.00 90.00°
Space group P4/mmm (No. 123)
Symmetry-distinct sites (fractional):
1 Hg 0.0000 0.0000 0.0000 x1
2 As 0.5000 0.5000 0.0000 x1
3 Rh 0.5000 0.5000 0.5000 x1
4 Br 0.0000 0.5000 0.5000 x2


[10]
Below is crystalline HgAs2RhBr at its relaxed geometry, with properties calculated at the GGA-PBE level.

## Properties
For the energy relative to the lowest polymorph listed for this composition, the calculation gives 0.0000 eV per atom. The uncorrected formation energy is 0.277 eV per atom.

Cell: 4.7947 4.7947 5.4190 Å, 90.00 90.00 90.00°
Space group P4/mmm (No. 123)
Symmetry-distinct sites (fractional):
1 Hg 0.0000 0.0000 0.0000 x1
2 As 0.0000 0.5000 0.5000 x2
3 Rh 0.5000 0.5000 0.5000 x1
4 Br 0.5000 0.5000 0.0000 x1


[11]
Below is crystalline HgAs2RuBr at its relaxed geometry, with properties calculated at the GGA-PBE level.

## Properties
For the energy relative to the lowest polymorph listed for this composition, the calculation gives 0.0000 eV per atom. The uncorrected formation energy is 0.305 eV per atom.

Cell: 4.7586 4.7586 5.4379 Å, 90.00 90.00 90.00°
Space group P4/mmm (No. 123)
Symmetry-distinct sites (fractional):
1 Hg 0.0000 0.0000 0.0000 x1
2 As 0.0000 0.5000 0.5000 x2
3 Ru 0.5000 0.5000 0.5000 x1
4 Br 0.5000 0.5000 0.0000 x1


[12]
Below is crystalline Hg2AsRuBr at its relaxed geometry, with properties calculated at the GGA-PBE level.

## Properties
The uncorrected formation energy is 0.765 eV per atom.

Cell: 5.4512 5.4512 4.7748 Å, 90.00 90.00 90.00°
Space group P4/mmm (No. 123)
Symmetry-distinct sites (fractional):
1 Hg 0.0000 0.5000 0.0000 x2
2 As 0.0000 0.0000 0.5000 x1
3 Ru 0.5000 0.5000 0.0000 x1
4 Br 0.5000 0.5000 0.5000 x1


[13]
Below is crystalline HgAsSBr2 at its relaxed geometry, with properties calculated at the GGA-PBE level.

## Properties
For the energy relative to the lowest polymorph listed for this composition, the calculation gives 0.4406 eV per atom. The uncorrected formation energy is 0.867 eV per atom.

Cell: 5.2746 5.2746 5.5318 Å, 90.00 90.00 90.00°
Space group P4/mmm (No. 123)
Symmetry-distinct sites (fractional):
1 Hg 0.0000 0.0000 0.0000 x1
2 As 0.0000 0.0000 0.5000 x1
3 S 0.5000 0.5000 0.5000 x1
4 Br 0.0000 0.5000 0.0000 x2


[14]
Below is crystalline HgAsSBr2 at its relaxed geometry, with properties calculated at the GGA-PBE level.

## Properties
For the energy relative to the lowest polymorph listed for this composition, the calculation gives 0.0000 eV per atom. The uncorrected formation energy is 0.427 eV per atom.

Cell: 5.3659 5.3659 4.9190 Å, 90.00 90.00 90.00°
Space group P4/mmm (No. 123)
Symmetry-distinct sites (fractional):
1 Hg 0.0000 0.0000 0.0000 x1
2 As 0.5000 0.5000 0.0000 x1
3 S 0.5000 0.5000 0.5000 x1
4 Br 0.0000 0.5000 0.5000 x2


Going through the records in order, we get V values of 125 132 162 197 136 131 1422 127 131 125 123 142 154 142 Å³ per cell.